1.
DFT (PBE) results for a relaxed Hf2CdCu crystal.

Calculated values
energy relative to the elements: -0.025 eV per atom
DOS at the Fermi energy: 4.63 states/eV per cell

a = 3.099 Å, b = 3.099 Å, c = 7.955 Å
α = 90.00°, β = 90.00°, γ = 90.00°
Space group P4/mmm (No. 123)
One atom of each set of equivalent atoms:
Hf: 0.000 0.000 0.221 (multiplicity 2)
Cd: 0.500 0.500 0.500 (multiplicity 1)
Cu: 0.500 0.500 0.000 (multiplicity 1)

2.
DFT (PBE) results for a relaxed InGaAs2 crystal.

Calculated values
polymorph energy (0 for the lowest one): 489.9 meV/atom
energy relative to the elements: 0.199 eV per atom
DOS at the Fermi energy: 8.62 states/eV per cell

a = 6.962 Å, b = 6.962 Å, c = 6.962 Å
α = 90.00°, β = 90.00°, γ = 90.00°
Space group Fm-3m (No. 225)
One atom of each set of equivalent atoms:
In: 0.000 0.000 0.000 (multiplicity 4)
Ga: 0.000 0.000 0.500 (multiplicity 4)
As: 0.250 0.250 0.250 (multiplicity 8)

3.
DFT (PBE) results for a relaxed CeTm2Hf crystal.

Calculated values
polymorph energy (0 for the lowest one): 0.0 meV/atom
energy relative to the elements: 0.122 eV per atom
DOS at the Fermi energy: 24.75 states/eV per cell

a = 3.3584 Å, b = 3.3584 Å, c = 33.6200 Å
α = 90.00°, β = 90.00°, γ = 120.00°
Space group R3m (No. 160, hexagonal axes)
One atom of each set of equivalent atoms:
Ce: 0.0000 0.0000 0.0000 (multiplicity 3)
Tm: 0.0000 0.0000 0.5770 (multiplicity 3)
Tm: 0.0000 0.0000 0.7548 (multiplicity 3)
Hf: 0.0000 0.0000 0.1657 (multiplicity 3)

4.
DFT (PBE) results for a relaxed Pm2Sm3Dy6Pu crystal.

Calculated values
energy relative to the elements: 0.044 eV per atom
DOS at the Fermi energy: 47.20 states/eV per cell

a = 6.191 Å, b = 10.733 Å, c = 11.760 Å
α = 90.00°, β = 100.14°, γ = 90.00°
Space group C2/m (No. 12)
One atom of each set of equivalent atoms:
Pm: 0.000 0.167 0.000 (multiplicity 4)
Sm: 0.000 0.000 0.500 (multiplicity 2)
Sm: 0.000 0.333 0.500 (multiplicity 4)
Dy: 0.246 0.500 0.752 (multiplicity 4)
Dy: 0.247 0.336 0.248 (multiplicity 8)
Pu: 0.000 0.500 0.000 (multiplicity 2)

5.
DFT (PBE) results for a relaxed LiP2Au crystal.

Calculated values
polymorph energy (0 for the lowest one): 317.6 meV/atom
energy relative to the elements: -0.034 eV per atom
DOS at the Fermi energy: 3.29 states/eV per cell

a = 3.200 Å, b = 4.052 Å, c = 10.177 Å
α = 90.00°, β = 90.00°, γ = 90.00°
Space group Imm2 (No. 44)
One atom of each set of equivalent atoms:
Li: 0.000 0.000 0.000 (multiplicity 2)
P: 0.000 0.000 0.460 (multiplicity 2)
P: 0.000 0.500 0.799 (multiplicity 2)
Au: 0.000 0.500 0.190 (multiplicity 2)

6.
DFT (PBE) results for a relaxed Pr2SmMg2In2 crystal.

Calculated values
energy relative to the elements: -0.265 eV per atom
DOS at the Fermi energy: 14.42 states/eV per cell

a = 5.0497 Å, b = 5.0497 Å, c = 27.2430 Å
α = 90.00°, β = 90.00°, γ = 120.00°
Space group R-3m (No. 166, hexagonal axes)
One atom of each set of equivalent atoms:
Pr: 0.0000 0.0000 0.1290 (multiplicity 6)
Sm: 0.0000 0.0000 0.0000 (multiplicity 3)
Mg: 0.0000 0.0000 0.3966 (multiplicity 6)
In: 0.0000 0.0000 0.2654 (multiplicity 6)

7.
DFT (PBE) results for a relaxed Mg2Co2Pd crystal.

Calculated values
polymorph energy (0 for the lowest one): 401.1 meV/atom
energy relative to the elements: 0.348 eV per atom
DOS at the Fermi energy: 8.55 states/eV per cell

a = 4.828 Å, b = 4.828 Å, c = 7.155 Å
α = 90.00°, β = 90.00°, γ = 90.00°
Space group I4/mmm (No. 139)
One atom of each set of equivalent atoms:
Mg: 0.000 0.500 0.250 (multiplicity 4)
Co: 0.000 0.000 0.147 (multiplicity 4)
Pd: 0.000 0.000 0.500 (multiplicity 2)

8.
DFT (PBE) results for a relaxed RbBePt2 crystal.

Calculated values
energy relative to the elements: -0.010 eV per atom
DOS at the Fermi energy: 5.77 states/eV per cell

a = 5.218 Å, b = 5.218 Å, c = 14.701 Å
α = 90.00°, β = 90.00°, γ = 90.00°
Space group I-42d (No. 122)
One atom of each set of equivalent atoms:
Rb: 0.000 0.000 0.000 (multiplicity 4)
Be: 0.000 0.000 0.500 (multiplicity 4)
Pt: 0.037 0.750 0.625 (multiplicity 8)

9.
DFT (PBE) results for a relaxed K2Rb3Na crystal.

Calculated values
energy relative to the elements: 0.029 eV per atom
DOS at the Fermi energy: 20.34 states/eV per cell

a = 23.169 Å, b = 8.416 Å, c = 9.322 Å
α = 90.00°, β = 90.00°, γ = 90.00°
Space group Cmcm (No. 63)
One atom of each set of equivalent atoms:
K: 0.132 0.000 0.000 (multiplicity 8)
Rb: 0.000 0.327 0.250 (multiplicity 4)
Rb: 0.186 0.465 0.750 (multiplicity 8)
Na: 0.000 0.188 0.750 (multiplicity 4)

10.
DFT (PBE) results for a relaxed Ba2InRhO5 crystal.

Calculated values
formation energy without anion corrections: -1.720 eV/atom

a = 3.532 Å, b = 14.169 Å, c = 11.565 Å
α = 90.00°, β = 90.00°, γ = 90.00°
Space group Cmc2_1 (No. 36)
One atom of each set of equivalent atoms:
Ba: 0.000 0.104 0.000 (multiplicity 4)
Ba: 0.000 0.146 0.627 (multiplicity 4)
In: 0.000 0.462 0.785 (multiplicity 4)
Rh: 0.000 0.219 0.354 (multiplicity 4)
O: 0.000 0.072 0.378 (multiplicity 4)
O: 0.000 0.280 0.964 (multiplicity 4)
O: 0.000 0.306 0.747 (multiplicity 4)
O: 0.000 0.376 0.325 (multiplicity 4)
O: 0.000 0.498 0.114 (multiplicity 4)

11.
DFT (PBE) results for a relaxed RePt3 crystal.

Calculated values
energy relative to the elements: -0.014 eV per atom
DOS at the Fermi energy: 16.85 states/eV per cell

a = 4.835 Å, b = 9.062 Å, c = 5.631 Å
α = 90.00°, β = 90.00°, γ = 90.00°
Space group Pnma (No. 62)
One atom of each set of equivalent atoms:
Re: 0.078 0.250 0.133 (multiplicity 4)
Pt: 0.085 0.250 0.625 (multiplicity 4)
Pt: 0.239 0.504 0.878 (multiplicity 8)

12.
DFT (PBE) results for a relaxed MgB2F6 crystal.

Calculated values
formation energy without anion corrections: -2.638 eV/atom
DOS at the Fermi energy: 0.00 states/eV per cell

a = 8.883 Å, b = 8.122 Å, c = 6.227 Å
α = 90.00°, β = 103.26°, γ = 90.00°
Space group C2/c (No. 15)
One atom of each set of equivalent atoms:
Mg: 0.000 0.080 0.250 (multiplicity 4)
B: 0.226 0.325 0.401 (multiplicity 8)
F: 0.105 0.098 0.611 (multiplicity 8)
F: 0.148 0.463 0.436 (multiplicity 8)
F: 0.153 0.251 0.190 (multiplicity 8)

| no. | size of the total moment (μB/f.u.) |
| --- | --- |
| 1 | 0.00 |
| 2 | 0.00 |
| 3 | 0.95 |
| 4 | 6.44 |
| 5 | 0.00 |
| 6 | 0.00 |
| 7 | 2.93 |
| 8 | 0.00 |
| 9 | 0.00 |
| 10 | 0.00 |
| 11 | 0.00 |
| 12 | 0.00 |